Entry from Alexandria via LeMat-Bulk: crystalline BaMoN2F at its relaxed geometry (GGA+U).

offset from the most stable computed form	1937	meV per atom
E	-4.488	eV per atom

abc: 4.7564 4.7564 4.8105
angles: 90.00 90.00 90.00
With the nearest neighbours (Å) after each atom.
Element x y z (fractional)
Ba  0.0000  0.0000  0.0000  4 N 2.38, 2 F 2.41
Mo  0.5000  0.5000  0.5000  4 F 3.36, 8 N 3.38
N  0.0000  0.5000  0.0000  2 Ba 2.38
N  0.5000  0.0000  0.0000  2 Ba 2.38
F  0.0000  0.0000  0.5000  2 Ba 2.41